[1]
# Sb2HPdCl

Crystalline Sb2HPdCl at its relaxed geometry (GGA-PBEsol, Alexandria via LeMat-Bulk).

Summary:
- total DFT energy (no corrections) (eV/atom) = -4.1651

abc: 5.365 5.365 3.250
angles: 90.00 90.00 90.00
Space group P4/mmm (No. 123)
Asymmetric unit:
Sb 0.000 0.500 0.000
H 0.000 0.000 0.500
Pd 0.000 0.000 0.000
Cl 0.500 0.500 0.500

[2]
# HPtCl3

Crystalline HPtCl3 at its relaxed geometry (GGA-PBEsol, Alexandria via LeMat-Bulk).

Summary:
- total DFT energy (no corrections) (eV/atom) = -2.8999

abc: 4.753 4.753 4.753
angles: 90.00 90.00 90.00
Space group Pm-3m (No. 221)
Asymmetric unit:
H 0.000 0.000 0.000
Pt 0.500 0.500 0.500
Cl 0.000 0.500 0.500

[3]
# H3PtCl

Crystalline H3PtCl at its relaxed geometry (GGA-PBEsol, Alexandria via LeMat-Bulk).

Summary:
- total DFT energy (no corrections) (eV/atom) = -2.4896

abc: 3.554 3.554 3.554
angles: 90.00 90.00 90.00
Space group Pm-3m (No. 221)
Asymmetric unit:
H 0.000 0.000 0.500
Pt 0.500 0.500 0.500
Cl 0.000 0.000 0.000

Number 1: total magnetic moment 0.0 μB/cell. Number 2: total magnetic moment 0.6 μB/cell. Number 3: total magnetic moment 0.0 μB/cell.